Material: TlPbAu2
Method: DFT, PBE
State: relaxed

Output
- ΔH_f (0 K): 17 meV/atom
- Spin magnetization: 0.000 μB/atom

abc: 7.2921 7.2921 7.2921
angles: 90.00 90.00 90.00
With the nearest neighbours (Å) after each atom.
Sites, in units of the cell vectors:
1 Tl 0.0000 0.0000 0.0000  8 Au 3.16
2 Tl 0.0000 0.5000 0.5000  8 Au 3.16
3 Tl 0.5000 0.0000 0.5000  8 Au 3.16
4 Tl 0.5000 0.5000 0.0000  8 Au 3.16
5 Pb 0.0000 0.0000 0.5000  8 Au 3.16
6 Pb 0.0000 0.5000 0.0000  8 Au 3.16
7 Pb 0.5000 0.0000 0.0000  8 Au 3.16
8 Pb 0.5000 0.5000 0.5000  8 Au 3.16
9 Au 0.2500 0.2500 0.2500  4 Tl 3.16, 4 Pb 3.16
10 Au 0.2500 0.2500 0.7500  4 Tl 3.16, 4 Pb 3.16
11 Au 0.2500 0.7500 0.2500  4 Tl 3.16, 4 Pb 3.16
12 Au 0.2500 0.7500 0.7500  4 Tl 3.16, 4 Pb 3.16
13 Au 0.7500 0.2500 0.2500  4 Tl 3.16, 4 Pb 3.16
14 Au 0.7500 0.2500 0.7500  4 Tl 3.16, 4 Pb 3.16
15 Au 0.7500 0.7500 0.2500  4 Tl 3.16, 4 Pb 3.16
16 Au 0.7500 0.7500 0.7500  4 Tl 3.16, 4 Pb 3.16